## TaBRu3 (PBE-GGA)

Data for crystalline TaBRu3 at its relaxed geometry.

Computed properties:
Raw total energy   -162.98 eV for the cell shown
Crystal system   tetragonal
Calculated volume   19.15 A^3/atom

Lattice parameters (Å, degrees): 4.5584 4.5584 18.4278 90.00 90.00 90.00
Space group I-4m2 (No. 119)
Asymmetric unit:
Ta 0.0000 0.0000 0.0000 x2
Ta 0.0000 0.5000 0.2500 x2
B 0.0000 0.5000 0.6382 x4
Ru 0.0000 0.0000 0.3489 x4
Ru 0.0000 0.2438 0.1225 x8

---

## Li2Cd3 (PBE-GGA)

Data for crystalline Li2Cd3 at its relaxed geometry.

Computed properties:
Raw total energy   -60.27 eV for the cell shown
Crystal system   orthorhombic
Calculated volume   19.44 A^3/atom
Relative energy among the computed polymorphs   0.0 meV/atom

Lattice parameters (Å, degrees): 10.0992 14.4499 5.3281 90.00 90.00 90.00
Space group Fdd2 (No. 43)
Asymmetric unit:
Li 0.0295 0.3003 0.0000 x16
Cd 0.0000 0.0000 0.4538 x8
Cd 0.0436 0.3962 0.4679 x16

---

## NdCd5Pt2 (PBE-GGA)

Data for crystalline NdCd5Pt2 at its relaxed geometry.

Computed properties:
Raw total energy   -49.75 eV for the cell shown
Crystal system   orthorhombic
Calculated volume   22.38 A^3/atom

Lattice parameters (Å, degrees): 4.1123 8.5794 10.1498 90.00 90.00 90.00
Space group Immm (No. 71)
Asymmetric unit:
Nd 0.0000 0.0000 0.0000 x2
Cd 0.0000 0.1869 0.3471 x8
Cd 0.0000 0.5000 0.0000 x2
Pt 0.0000 0.5000 0.2812 x4

---

## Ac2SiHg (PBE-GGA)

Data for crystalline Ac2SiHg at its relaxed geometry.

Computed properties:
Raw total energy   -31.64 eV for the cell shown
Crystal system   monoclinic
ΔE_f (raw)   -0.470 eV per atom
Calculated volume   31.66 A^3/atom
Relative energy among the computed polymorphs   0.0 meV/atom

Lattice parameters (Å, degrees): 6.4747 4.4612 9.2292 90.00 108.16 90.00
Space group P2_1/m (No. 11)
Asymmetric unit:
Ac 0.2038 0.2500 0.4268 x2
Ac 0.2821 0.7500 0.0688 x2
Si 0.1284 0.2500 0.7898 x2
Hg 0.3564 0.7500 0.7147 x2

---

## Ni2RuCl (PBE-GGA)

Data for crystalline Ni2RuCl at its relaxed geometry.

Computed properties:
Raw total energy   -41.61 eV for the cell shown
Crystal system   orthorhombic
ΔE_f (raw)   0.470 eV per atom
Calculated volume   13.71 A^3/atom
Relative energy among the computed polymorphs   201.0 meV/atom

Lattice parameters (Å, degrees): 2.8168 4.8530 8.0261 90.00 90.00 90.00
Space group Cmmm (No. 65)
Asymmetric unit:
Ni 0.0000 0.0000 0.2444 x4
Ru 0.0000 0.5000 0.5000 x2
Cl 0.0000 0.5000 0.0000 x2

---

## Fe2Si2Ge (PBE-GGA)

Data for crystalline Fe2Si2Ge at its relaxed geometry.

Computed properties:
Raw total energy   -64.94 eV for the cell shown
Crystal system   tetragonal
ΔE_f (raw)   -0.016 eV per atom
Calculated volume   12.71 A^3/atom
Relative energy among the computed polymorphs   77.5 meV/atom

Lattice parameters (Å, degrees): 7.0256 7.0256 2.5751 90.00 90.00 90.00
Space group P4/mbm (No. 127)
Asymmetric unit:
Fe 0.1522 0.3478 0.0000 x4
Si 0.1376 0.6376 0.5000 x4
Ge 0.0000 0.0000 0.5000 x2

---

## SnIr2Cl2 (PBE-GGA)

Data for crystalline SnIr2Cl2 at its relaxed geometry.

Computed properties:
Raw total energy   -47.31 eV for the cell shown
Crystal system   tetragonal
ΔE_f (raw)   0.353 eV per atom
Calculated volume   27.66 A^3/atom
Relative energy among the computed polymorphs   0.0 meV/atom

Lattice parameters (Å, degrees): 3.5012 3.5012 22.5668 90.00 90.00 90.00
Space group I4/mmm (No. 139)
Asymmetric unit:
Sn 0.0000 0.0000 0.0000 x2
Ir 0.0000 0.5000 0.2500 x4
Cl 0.0000 0.0000 0.4261 x4

---

## SiTcAsSe2 (PBE-GGA)

Data for crystalline SiTcAsSe2 at its relaxed geometry.

Computed properties:
Raw total energy   -22.22 eV for the cell shown
Crystal system   tetragonal
ΔE_f (raw)   1.037 eV per atom
Calculated volume   20.10 A^3/atom
Relative energy among the computed polymorphs   331.3 meV/atom

Lattice parameters (Å, degrees): 4.6601 4.6601 4.6268 90.00 90.00 90.00
Space group P4/mmm (No. 123)
Asymmetric unit:
Si 0.0000 0.0000 0.0000 x1
Tc 0.5000 0.5000 0.5000 x1
As 0.0000 0.0000 0.5000 x1
Se 0.0000 0.5000 0.0000 x2

---

## Rb2PrSb2O6 (PBE-GGA)

Data for crystalline Rb2PrSb2O6 at its relaxed geometry.

Computed properties:
Raw total energy   -129.11 eV for the cell shown
Crystal system   monoclinic
ΔE_f (raw)   -1.804 eV per atom
Calculated volume   21.52 A^3/atom

Lattice parameters (Å, degrees): 10.5310 6.4738 7.7127 90.00 115.77 90.00
Space group C2/m (No. 12)
Asymmetric unit:
Rb 0.2060 0.0000 0.1674 x4
Pr 0.0000 0.0000 0.5000 x2
Sb 0.0680 0.5000 0.2298 x4
O 0.0342 0.2617 0.7414 x8
O 0.2437 0.0000 0.5615 x4

---

## Sr2UIrO8 (PBE-GGA)

Data for crystalline Sr2UIrO8 at its relaxed geometry.

Computed properties:
Raw total energy   -89.62 eV for the cell shown
Crystal system   monoclinic
ΔE_f (raw)   -2.204 eV per atom
Calculated volume   15.87 A^3/atom

Lattice parameters (Å, degrees): 5.3163 6.7360 5.3190 90.00 91.67 90.00
Space group P2/m (No. 10)
Asymmetric unit:
Sr 0.0000 0.2424 0.0000 x2
U 0.5000 0.5000 0.5000 x1
Ir 0.5000 0.0000 0.5000 x1
O 0.2345 0.5000 0.2358 x2
O 0.2492 0.0000 0.2509 x2
O 0.3311 0.2358 0.6697 x4

---

## RbLaAuO2 (PBE-GGA)

Data for crystalline RbLaAuO2 at its relaxed geometry.

Computed properties:
Raw total energy   -54.35 eV for the cell shown
Crystal system   monoclinic
ΔE_f (raw)   -1.617 eV per atom
Calculated volume   26.88 A^3/atom

Lattice parameters (Å, degrees): 6.7080 5.5988 7.1849 90.00 94.95 90.00
Space group P2/c (No. 13)
Asymmetric unit:
Rb 0.0000 0.1384 0.2500 x2
La 0.5000 0.4865 0.7500 x2
Au 0.5000 0.0000 0.0000 x2
O 0.3095 0.3546 0.4790 x4

---

## SrAsPt2 (PBE-GGA)

Data for crystalline SrAsPt2 at its relaxed geometry.

Computed properties:
Raw total energy   -19.73 eV for the cell shown
Crystal system   orthorhombic
Calculated volume   20.28 A^3/atom

Lattice parameters (Å, degrees): 3.1975 3.4364 7.3816 90.00 90.00 90.00
Space group Pmmm (No. 47)
Asymmetric unit:
Sr 0.0000 0.0000 0.0000 x1
As 0.0000 0.0000 0.5000 x1
Pt 0.5000 0.5000 0.3025 x2

---

> Among the records above, which one has the highest raw total energy?

SrAsPt2

---

Please write out number 5 again, unchanged.
## Ni2RuCl (PBE-GGA)

Data for crystalline Ni2RuCl at its relaxed geometry.

Computed properties:
Raw total energy   -41.61 eV for the cell shown
Crystal system   orthorhombic
ΔE_f (raw)   0.470 eV per atom
Calculated volume   13.71 A^3/atom
Relative energy among the computed polymorphs   201.0 meV/atom

Lattice parameters (Å, degrees): 2.8168 4.8530 8.0261 90.00 90.00 90.00
Space group Cmmm (No. 65)
Asymmetric unit:
Ni 0.0000 0.0000 0.2444 x4
Ru 0.0000 0.5000 0.5000 x2
Cl 0.0000 0.5000 0.0000 x2